No. 1
First-principles (GGA-PBE) data for a geometry-optimized Dy2HoMg structure, as listed in Alexandria via LeMat-Bulk.

Cell lengths 3.5692, 3.5692, 9.2366 Å; angles 90.00, 90.00, 90.00 degrees
Fractional coordinates of all 4 atoms:
Dy: 0.0000 0.0000 0.2366
Dy: 0.0000 0.0000 0.7634
Mg: 0.5000 0.5000 0.0000
Ho: 0.5000 0.5000 0.5000

Calculated values
energy relative to the lowest polymorph listed for this composition = 3.9 meV per atom
volume = 29.4 Å³ per atom
total magnetization = 0.0 μB/f.u.


No. 2
First-principles (GGA-PBE) data for a geometry-optimized Cr2PN structure, as listed in Alexandria via LeMat-Bulk.

Cell lengths 3.8740, 3.8740, 3.8740 Å; angles 60.00, 60.00, 60.00 degrees
Fractional coordinates of all 4 atoms:
N: 0.0000 0.0000 0.0000
P: 0.5000 0.5000 0.5000
Cr: 0.2500 0.2500 0.2500
Cr: 0.7500 0.7500 0.7500

Calculated values
energy relative to the lowest polymorph listed for this composition = 524.6 meV per atom
volume = 10.3 Å³ per atom
formation energy from raw total energies = 0.28 eV per atom
total magnetization = 2.2 μB/f.u.


No. 3
First-principles (GGA-PBE) data for a geometry-optimized YSnPt2 structure, as listed in Alexandria via LeMat-Bulk.

Cell lengths 4.8487, 4.8487, 8.2066 Å; angles 90.00, 90.00, 120.00 degrees
Fractional coordinates of all 8 atoms:
Y: 0.0000 0.0000 0.5000
Y: 0.0000 0.0000 0.0000
Sn: 0.3333 0.6667 0.2500
Sn: 0.6667 0.3333 0.7500
Pt: 0.3333 0.6667 0.5860
Pt: 0.3333 0.6667 0.9140
Pt: 0.6667 0.3333 0.0860
Pt: 0.6667 0.3333 0.4140

Calculated values
volume = 20.9 Å³ per atom
total DFT energy (no corrections) = -6.475 eV per atom
total magnetization = 0.0 μB/f.u.


No. 4
First-principles (GGA-PBE) data for a geometry-optimized CdCuCl structure, as listed in Alexandria via LeMat-Bulk.

Cell lengths 5.5805, 4.0474, 12.2035 Å; angles 90.00, 110.85, 90.00 degrees
Fractional coordinates of all 12 atoms:
Cu: 0.7931 0.5000 0.7710
Cu: 0.5651 0.5000 0.3026
Cu: 0.7931 0.0000 0.2710
Cu: 0.5651 0.0000 0.8026
Cl: 0.4378 0.0000 0.9573
Cl: 0.9636 0.0000 0.4725
Cl: 0.9636 0.5000 0.9725
Cl: 0.4378 0.5000 0.4573
Cd: 0.2153 0.0000 0.2008
Cd: 0.6884 0.0000 0.6121
Cd: 0.2153 0.5000 0.7008
Cd: 0.6884 0.5000 0.1121

Calculated values
energy relative to the lowest polymorph listed for this composition = 10.6 meV per atom
volume = 21.5 Å³ per atom
formation energy from raw total energies = -0.27 eV per atom
total magnetization = 0.0 μB/f.u.